Record 1
First-principles (PBE) data for ScTiB3 after structural relaxation, as listed in Alexandria via LeMat-Bulk.

a b c (Å): 4.0935 4.0935 4.0935
angles (deg): 90.00 90.00 90.00
Last column: nearest neighbours and their distance in Å.
Fractional coordinates of all 5 atoms:
Sc: 0.0000 0.0000 0.0000  6 B 2.05
B: 0.0000 0.5000 0.0000  2 Sc 2.05
B: 0.0000 0.0000 0.5000  2 Sc 2.05
B: 0.5000 0.0000 0.0000  2 Sc 2.05
Ti: 0.5000 0.5000 0.5000  12 B 2.89

Computed properties:
- space-group type = Pm-3m (221)
- relative energy among the computed polymorphs (eV/f.u.) = 11.75
- energy of formation (eV/atom) = 1.541

Record 2
First-principles (PBE) data for La2PmSb after structural relaxation, as listed in Alexandria via LeMat-Bulk.

a b c (Å): 4.2855 4.2855 7.1546
angles (deg): 90.00 90.00 90.00
Last column: nearest neighbours and their distance in Å.
Fractional coordinates of all 4 atoms:
Sb: 0.5000 0.5000 0.5000  8 La 3.40, 2 Pm 3.58
La: 0.0000 0.0000 0.7168  1 La 3.10, 4 Sb 3.40
La: 0.0000 0.0000 0.2832  1 La 3.10, 4 Sb 3.40
Pm: 0.5000 0.5000 0.0000  2 Sb 3.58, 8 La 3.65

Computed properties:
- space-group type = P4/mmm (123)
- relative energy among the computed polymorphs (eV/f.u.) = 0.26

Record 3
First-principles (PBE) data for Pr2Al3PdPt12 after structural relaxation, as listed in Alexandria via LeMat-Bulk.

a b c (Å): 7.8532 7.8532 7.8532
angles (deg): 63.21 63.21 63.21
Last column: nearest neighbours and their distance in Å.
Fractional coordinates of all 18 atoms:
Pr: 0.6150 0.6150 0.6150  6 Pt 2.83-2.85
Pr: 0.3850 0.3850 0.3850  6 Pt 2.83-2.85
Al: 0.5000 0.0000 0.0000  6 Pt 2.42-2.45
Al: 0.0000 0.5000 0.0000  6 Pt 2.42-2.45
Al: 0.0000 0.0000 0.5000  6 Pt 2.42-2.45
Pd: 0.0000 0.0000 0.0000  6 Pt 2.57
Pt: 0.3669 0.3669 0.8912  2 Al 2.45
Pt: 0.8644 0.8644 0.3845  1 Al 2.42, 1 Pd 2.57
Pt: 0.3845 0.8644 0.8644  1 Al 2.42, 1 Pd 2.57
Pt: 0.8912 0.3669 0.3669  2 Al 2.45
Pt: 0.8644 0.3845 0.8644  1 Al 2.42, 1 Pd 2.57
Pt: 0.3669 0.8912 0.3669  2 Al 2.45
Pt: 0.6331 0.6331 0.1088  2 Al 2.45
Pt: 0.1356 0.1356 0.6155  1 Al 2.42, 1 Pd 2.57
Pt: 0.6155 0.1356 0.1356  1 Al 2.42, 1 Pd 2.57
Pt: 0.1088 0.6331 0.6331  2 Al 2.45
Pt: 0.1356 0.6155 0.1356  1 Al 2.42, 1 Pd 2.57
Pt: 0.6331 0.1088 0.6331  2 Al 2.45

Computed properties:
- space-group type = R-3m (166)
- energy of formation (eV/atom) = -0.389